[1]
{"formula": "KVNi3", "functional": "PBE", "state": "optimized geometry", "lattice_angstrom": [[4.465, 0.000, 0.000], [0.000, 4.465, 0.000], [0.000, 0.000, 4.465]], "species": ["Ni", "Ni", "Ni", "K", "V"], "fractional_positions": [[0.000, 0.500, 0.000], [0.000, 0.000, 0.500], [0.500, 0.000, 0.000], [0.000, 0.000, 0.000], [0.500, 0.500, 0.500]], "de_polymorph_mev_per_atom": 1236.6, "sg": "Pm-3m", "m_tot_mub_per_atom": 0.691, "ef_mev_per_atom": 2164, "e_tot_ev_per_atom": -3.348}

---

[2]
{"formula": "BaSrPm2Se4", "functional": "PBE", "state": "optimized geometry", "lattice_angstrom": [[4.328, 0.000, 0.000], [0.000, 7.699, -0.224], [0.000, 2.638, 7.021]], "species": ["Ba", "Sr", "Pm", "Pm", "Se", "Se", "Se", "Se"], "fractional_positions": [[0.500, 0.500, 0.000], [0.000, 0.500, 0.500], [0.000, 0.000, 0.000], [0.500, 0.000, 0.500], [0.000, 0.773, 0.736], [0.000, 0.227, 0.264], [0.500, 0.768, 0.251], [0.500, 0.232, 0.749]], "raw_formation_energy_kj_per_mol_fu": -1471, "sg": "P2/m", "m_tot_mub_per_atom": 0.000, "e_tot_ev_per_atom": -5.286}

---

[3]
{"formula": "Dy2AlGa4Au3", "functional": "PBE", "state": "optimized geometry", "lattice_angstrom": [[4.134, 0.000, 0.000], [0.000, 4.134, 0.000], [0.000, 0.000, 11.489]], "species": ["Dy", "Dy", "Al", "Ga", "Ga", "Ga", "Ga", "Au", "Au", "Au"], "fractional_positions": [[0.500, 0.000, 0.258], [0.000, 0.500, 0.742], [0.500, 0.500, 0.500], [0.500, 0.500, 0.000], [0.000, 0.000, 0.000], [0.500, 0.000, 0.641], [0.000, 0.500, 0.359], [0.000, 0.000, 0.500], [0.500, 0.000, 0.858], [0.000, 0.500, 0.142]], "sg": "P-4m2", "m_tot_mub_per_atom": 0.000, "ef_mev_per_atom": -588, "e_tot_ev_per_atom": -4.076}

---

[4]
{"formula": "KTcTe2N", "functional": "PBE", "state": "optimized geometry", "lattice_angstrom": [[-1.005, 4.382, -3.590], [-4.524, -2.815, -2.169], [-2.223, 1.595, 2.569]], "species": ["K", "Te", "Te", "Tc", "N"], "fractional_positions": [[0.500, 0.500, 0.500], [0.000, 0.500, 0.000], [0.500, 0.000, 0.000], [0.000, 0.000, 0.000], [0.000, 0.000, 0.500]], "raw_formation_energy_kj_per_mol_fu": -7, "de_polymorph_mev_per_atom": 0.0, "sg": "P4/mmm", "m_tot_mub_per_atom": 0.276, "e_tot_ev_per_atom": -5.228}

---

[5]
{"formula": "Hf2CrNi2", "functional": "PBE", "state": "optimized geometry", "lattice_angstrom": [[-5.237, -4.612, -0.963], [3.438, -2.757, -5.495], [1.473, -2.083, 1.967]], "species": ["Ni", "Ni", "Ni", "Ni", "Hf", "Hf", "Hf", "Hf", "Cr", "Cr"], "fractional_positions": [[0.375, 0.875, 0.000], [0.875, 0.625, 0.000], [0.625, 0.125, 0.000], [0.125, 0.375, 0.000], [0.175, 0.675, 0.500], [0.675, 0.825, 0.500], [0.825, 0.325, 0.500], [0.325, 0.175, 0.500], [0.000, 0.000, 0.000], [0.500, 0.500, 0.000]], "de_polymorph_mev_per_atom": 0.0, "sg": "P4/mbm", "m_tot_mub_per_atom": 0.691, "ef_mev_per_atom": -241, "e_tot_ev_per_atom": -8.460}

---

[6]
{"formula": "K3Pd4Pb2", "functional": "PBE", "state": "optimized geometry", "lattice_angstrom": [[4.677, 0.000, 0.000], [-2.339, 6.145, 0.016], [0.000, -2.649, 8.981]], "species": ["K", "K", "K", "Pd", "Pd", "Pd", "Pd", "Pb", "Pb"], "fractional_positions": [[0.370, 0.740, 0.627], [0.000, 0.000, 0.000], [0.630, 0.260, 0.373], [0.747, 0.493, 0.081], [0.082, 0.164, 0.634], [0.918, 0.836, 0.366], [0.253, 0.507, 0.919], [0.326, 0.652, 0.231], [0.674, 0.348, 0.769]], "sg": "C2/m", "m_tot_mub_per_atom": 0.000, "ef_mev_per_atom": -183, "e_tot_ev_per_atom": -3.681}